Entry 1:
This record from Alexandria describes a relaxed K2MgZr crystal. The functional is GGA-PBEsol.

Computed properties:
- space-group type = P4/mmm
- DFT formation energy (eV/atom) = 0.8435

Cell: 4.633 4.633 6.316 Å, 90.00 90.00 90.00°
Element x y z (fractional)
K 0.000 0.500 0.000
K 0.500 0.000 0.000
Mg 0.000 0.000 0.500
Zr 0.500 0.500 0.500

Entry 2:
This record from Alexandria describes a relaxed K2MgZr crystal. The functional is GGA-PBEsol.

Computed properties:
- space-group type = P2/m
- DFT formation energy (eV/atom) = 0.7223

Cell: 3.053 6.592 6.358 Å, 90.00 91.75 90.00°
Element x y z (fractional)
K 0.238 0.000 0.248
K 0.762 0.000 0.752
Mg 0.500 0.500 0.000
Zr 0.000 0.500 0.500

Entry 3:
This record from Alexandria describes a relaxed KMg2Zr crystal. The functional is GGA-PBEsol.

Computed properties:
- space-group type = C2/m
- DFT formation energy (eV/atom) = 0.4421

Cell: 5.447 5.447 7.711 Å, 92.74 92.74 31.14°
Element x y z (fractional)
K 0.000 0.000 0.000
Mg 0.240 0.240 0.680
Mg 0.760 0.760 0.320
Zr 0.500 0.500 0.500

Entry 4:
This record from Alexandria describes a relaxed KMn2 crystal. The functional is GGA-PBEsol.

Computed properties:
- space-group type = Immm
- DFT formation energy (eV/atom) = 1.0496

Cell: 6.450 6.450 6.450 Å, 155.59 149.27 39.63°
Element x y z (fractional)
K 0.000 0.000 0.000
Mn 0.271 0.271 0.000
Mn 0.729 0.729 0.000

Entry 5:
This record from Alexandria describes a relaxed KMn2 crystal. The functional is GGA-PBEsol.

Computed properties:
- space-group type = P4/mmm
- DFT formation energy (eV/atom) = 2.1486

Cell: 5.996 5.996 2.911 Å, 90.00 90.00 90.00°
Element x y z (fractional)
K 0.000 0.000 0.000
Mn 0.000 0.500 0.500
Mn 0.500 0.000 0.500

Entry 6:
This record from Alexandria describes a relaxed K3Mn crystal. The functional is GGA-PBEsol.

Computed properties:
- space-group type = Fm-3m
- DFT formation energy (eV/atom) = 0.7655

Cell: 6.405 6.405 6.405 Å, 60.00 60.00 60.00°
Element x y z (fractional)
K 0.000 0.000 0.000
K 0.250 0.250 0.250
K 0.750 0.750 0.750
Mn 0.500 0.500 0.500

Entry 7:
This record from Alexandria describes a relaxed K3Mn crystal. The functional is GGA-PBEsol.

Computed properties:
- space-group type = Pmm2
- DFT formation energy (eV/atom) = 0.7944

Cell: 4.042 6.494 7.259 Å, 90.00 90.00 90.00°
Element x y z (fractional)
K 0.000 0.000 0.000
K 0.000 0.500 0.327
K 0.500 0.000 0.548
Mn 0.500 0.500 0.834

Entry 8:
This record from Alexandria describes a relaxed KMn2Mo crystal. The functional is GGA-PBEsol.

Computed properties:
- space-group type = Immm
- DFT formation energy (eV/atom) = 1.4763

Cell: 4.820 4.820 4.820 Å, 129.40 115.20 86.53°
Element x y z (fractional)
K 0.000 0.000 0.000
Mn 0.292 0.792 0.500
Mn 0.708 0.208 0.500
Mo 0.500 0.500 0.000

Entry 9:
This record from Alexandria describes a relaxed KMnMo crystal. The functional is GGA-PBEsol.

Computed properties:
- space-group type = F-43m
- DFT formation energy (eV/atom) = 2.0988

Cell: 4.501 4.501 4.501 Å, 60.00 60.00 60.00°
Element x y z (fractional)
K 0.000 0.000 0.000
Mn 0.500 0.500 0.500
Mo 0.250 0.250 0.250

Entry 10:
This record from Alexandria describes a relaxed KMn2Mo crystal. The functional is GGA-PBEsol.

Computed properties:
- space-group type = Pmmm
- DFT formation energy (eV/atom) = 0.9410

Cell: 2.785 3.814 7.389 Å, 90.00 90.00 90.00°
Element x y z (fractional)
K 0.000 0.000 0.000
Mn 0.500 0.500 0.367
Mn 0.500 0.500 0.633
Mo 0.000 0.000 0.500

Entry 11:
This record from Alexandria describes a relaxed KMn2Mo crystal. The functional is GGA-PBEsol.

Computed properties:
- space-group type = P4mm
- DFT formation energy (eV/atom) = 0.8789

Cell: 2.674 2.674 9.369 Å, 90.00 90.00 90.00°
Element x y z (fractional)
K 0.000 0.000 0.000
Mn 0.000 0.000 0.460
Mn 0.500 0.500 0.315
Mo 0.500 0.500 0.664

Entry 12:
This record from Alexandria describes a relaxed K4MnMo4O15 crystal. The functional is GGA-PBEsol.

Computed properties:
- space-group type = P-3
- E_tot (eV per atom) = -7.877

Cell: 10.305 10.305 8.123 Å, 90.00 90.00 120.00°
Element x y z (fractional)
K 0.000 0.000 0.000
K 0.000 0.000 0.500
K 0.091 0.395 0.139
K 0.304 0.909 0.139
K 0.395 0.304 0.861
K 0.605 0.696 0.139
K 0.696 0.091 0.861
K 0.909 0.605 0.861
Mn 0.333 0.667 0.466
Mn 0.667 0.333 0.534
Mo 0.016 0.340 0.637
Mo 0.324 0.984 0.637
Mo 0.333 0.667 0.857
Mo 0.340 0.324 0.363
Mo 0.660 0.676 0.637
Mo 0.667 0.333 0.143
Mo 0.676 0.016 0.363
Mo 0.984 0.660 0.363
O 0.006 0.217 0.791
O 0.016 0.273 0.442
O 0.145 0.637 0.343
O 0.175 0.656 0.950
O 0.187 0.520 0.660
O 0.211 0.994 0.791
O 0.217 0.211 0.209
O 0.257 0.984 0.442
O 0.273 0.257 0.558
O 0.333 0.813 0.660
O 0.344 0.520 0.950
O 0.363 0.508 0.343
O 0.480 0.667 0.660
O 0.480 0.825 0.950
O 0.492 0.855 0.343
O 0.508 0.145 0.657
O 0.520 0.175 0.050
O 0.520 0.333 0.340
O 0.637 0.492 0.657
O 0.656 0.480 0.050
O 0.667 0.187 0.340
O 0.727 0.743 0.442
O 0.743 0.016 0.558
O 0.783 0.789 0.791
O 0.789 0.006 0.209
O 0.813 0.480 0.340
O 0.825 0.344 0.050
O 0.855 0.363 0.657
O 0.984 0.727 0.558
O 0.994 0.783 0.209

Question: Number 8 is which compound?
Answer: KMn2Mo